(1)
# Dy2MgZn3Cu12 PBE relaxed
# M_tot = 0.00 μB/f.u.
# Mass density = 7.9 g cm⁻³
# Final energy = -3.51 eV/atom
data_Dy2MgZn3Cu12
_cell_length_a 8.7833
_cell_length_b 8.7833
_cell_length_c 12.3391
_cell_angle_alpha 90.00
_cell_angle_beta 90.00
_cell_angle_gamma 120.00
_space_group_name_H-M_alt 'R -3 m'
_space_group_IT_number 166
_space_group_name_Hall '-R 3 2"'
loop_
_atom_site_label
_atom_site_fract_x
_atom_site_fract_y
_atom_site_fract_z
_atom_site_occupancy
Dy1 0.0000 0.0000 0.2039 1
Mg1 0.0000 0.0000 0.5000 1
Zn1 0.0000 0.5000 0.0000 1
Cu1 0.0103 0.5052 0.2056 1
Cu2 0.0320 0.5160 0.6019 1

***

(2)
# DyMg2ZnCu2 PBE relaxed
# M_tot = 0.00 μB/f.u.
# Mass density = 5.2 g cm⁻³
# Final energy = -2.76 eV/atom
data_DyMg2ZnCu2
_cell_length_a 4.9875
_cell_length_b 4.9875
_cell_length_c 10.3443
_cell_angle_alpha 90.00
_cell_angle_beta 90.00
_cell_angle_gamma 90.00
_space_group_name_H-M_alt 'I 4/m m m'
_space_group_IT_number 139
_space_group_name_Hall '-I 4 2'
loop_
_atom_site_label
_atom_site_fract_x
_atom_site_fract_y
_atom_site_fract_z
_atom_site_occupancy
Dy1 0.0000 0.0000 0.0000 1
Mg1 0.0000 0.5000 0.2500 1
Zn1 0.0000 0.0000 0.5000 1
Cu1 0.0000 0.0000 0.2732 1

***

(3)
# DyMnCu2 PBE relaxed
# M_tot = 3.61 μB/f.u.
# Mass density = 8.0 g cm⁻³
# Final energy = -5.54 eV/atom
data_DyMnCu2
_cell_length_a 4.2868
_cell_length_b 4.2868
_cell_length_c 13.4516
_cell_angle_alpha 90.00
_cell_angle_beta 90.00
_cell_angle_gamma 120.00
_space_group_name_H-M_alt 'R -3 m'
_space_group_IT_number 166
_space_group_name_Hall '-R 3 2"'
loop_
_atom_site_label
_atom_site_fract_x
_atom_site_fract_y
_atom_site_fract_z
_atom_site_occupancy
Dy1 0.0000 0.0000 0.0000 1
Mn1 0.0000 0.0000 0.5000 1
Cu1 0.0000 0.0000 0.2070 1

***

(4)
# DyMnCu PBE relaxed
# M_tot = 3.41 μB/f.u.
# Mass density = 8.2 g cm⁻³
# Final energy = -5.87 eV/atom
data_DyMnCu
_cell_length_a 5.0346
_cell_length_b 7.9371
_cell_length_c 5.6722
_cell_angle_alpha 90.00
_cell_angle_beta 90.00
_cell_angle_gamma 90.00
_space_group_name_H-M_alt 'C m c m'
_space_group_IT_number 63
_space_group_name_Hall '-C 2c 2'
loop_
_atom_site_label
_atom_site_fract_x
_atom_site_fract_y
_atom_site_fract_z
_atom_site_occupancy
Dy1 0.0000 0.1563 0.2500 1
Mn1 0.0000 0.5000 0.0000 1
Cu1 0.0000 0.1985 0.7500 1

***

(5)
# Dy2MnCu PBE relaxed
# M_tot = 3.13 μB/f.u.
# Mass density = 8.6 g cm⁻³
# Final energy = -5.65 eV/atom
# Energy above the most stable polymorph in this dataset = 0 meV/atom
data_Dy2MnCu
_cell_length_a 3.4588
_cell_length_b 3.4588
_cell_length_c 7.1302
_cell_angle_alpha 90.00
_cell_angle_beta 90.00
_cell_angle_gamma 90.00
_space_group_name_H-M_alt 'P 4/m m m'
_space_group_IT_number 123
_space_group_name_Hall '-P 4 2'
loop_
_atom_site_label
_atom_site_fract_x
_atom_site_fract_y
_atom_site_fract_z
_atom_site_occupancy
Dy1 0.0000 0.0000 0.2473 1
Mn1 0.5000 0.5000 0.5000 1
Cu1 0.5000 0.5000 0.0000 1

***

(6)
# Dy2MnCu PBE relaxed
# M_tot = 3.16 μB/f.u.
# Mass density = 8.6 g cm⁻³
# Final energy = -5.59 eV/atom
# Energy above the most stable polymorph in this dataset = 56 meV/atom
data_Dy2MnCu
_cell_length_a 6.9989
_cell_length_b 6.9989
_cell_length_c 6.9989
_cell_angle_alpha 90.00
_cell_angle_beta 90.00
_cell_angle_gamma 90.00
_space_group_name_H-M_alt 'F m -3 m'
_space_group_IT_number 225
_space_group_name_Hall '-F 4 2 3'
loop_
_atom_site_label
_atom_site_fract_x
_atom_site_fract_y
_atom_site_fract_z
_atom_site_occupancy
Dy1 0.2500 0.2500 0.2500 1
Mn1 0.0000 0.0000 0.0000 1
Cu1 0.0000 0.0000 0.5000 1

***

Which value of final energy does entry 1 give? -3.51 eV/atom

***

Copy entry 5 word for word.
# Dy2MnCu PBE relaxed
# M_tot = 3.13 μB/f.u.
# Mass density = 8.6 g cm⁻³
# Final energy = -5.65 eV/atom
# Energy above the most stable polymorph in this dataset = 0 meV/atom
data_Dy2MnCu
_cell_length_a 3.4588
_cell_length_b 3.4588
_cell_length_c 7.1302
_cell_angle_alpha 90.00
_cell_angle_beta 90.00
_cell_angle_gamma 90.00
_space_group_name_H-M_alt 'P 4/m m m'
_space_group_IT_number 123
_space_group_name_Hall '-P 4 2'
loop_
_atom_site_label
_atom_site_fract_x
_atom_site_fract_y
_atom_site_fract_z
_atom_site_occupancy
Dy1 0.0000 0.0000 0.2473 1
Mn1 0.5000 0.5000 0.5000 1
Cu1 0.5000 0.5000 0.0000 1